1.
# PBE-GGA CeDy2Be, optimized geometry
data_CeDy2Be
_symmetry_space_group_name_H-M 'P 1'
_symmetry_Int_Tables_number 1
_cell_length_a 3.385
_cell_length_b 3.385
_cell_length_c 11.378
_cell_angle_alpha 81.44
_cell_angle_beta 81.44
_cell_angle_gamma 60.00
loop_
_symmetry_equiv_pos_as_xyz
'x,y,z'
loop_
_atom_site_label
_atom_site_fract_x
_atom_site_fract_y
_atom_site_fract_z
Be1 0.000 0.000 0.000
Ce1 0.500 0.500 0.500
Dy1 0.085 0.085 0.746
Dy2 0.915 0.915 0.254
# **Fermi-level density of states**: 6.2 states/eV/cell
# **Energy above the most stable polymorph in this dataset**: 588 meV per atom
# **SG**: No. 166
# **Formation enthalpy at 0 K**: 67 kJ/mol of atoms

=====

2.
# PBE-GGA CaCd2GeIr, optimized geometry
data_CaCd2GeIr
_symmetry_space_group_name_H-M 'P 1'
_symmetry_Int_Tables_number 1
_cell_length_a 5.152
_cell_length_b 4.708
_cell_length_c 5.152
_cell_angle_alpha 90.00
_cell_angle_beta 90.00
_cell_angle_gamma 90.00
loop_
_symmetry_equiv_pos_as_xyz
'x,y,z'
loop_
_atom_site_label
_atom_site_fract_x
_atom_site_fract_y
_atom_site_fract_z
Ge1 0.000 0.000 0.000
Ir1 0.000 0.500 0.000
Ca1 0.500 0.500 0.500
Cd1 0.000 0.000 0.500
Cd2 0.500 0.000 0.000
# **Fermi-level density of states**: 2.1 states/eV/cell
# **SG**: No. 123
# **Formation enthalpy at 0 K**: 18 kJ/mol of atoms

=====

3.
# PBE-GGA CaPm3Dy6, optimized geometry
data_CaPm3Dy6
_symmetry_space_group_name_H-M 'P 1'
_symmetry_Int_Tables_number 1
_cell_length_a 6.648
_cell_length_b 9.600
_cell_length_c 9.612
_cell_angle_alpha 139.16
_cell_angle_beta 110.23
_cell_angle_gamma 90.00
loop_
_symmetry_equiv_pos_as_xyz
'x,y,z'
loop_
_atom_site_label
_atom_site_fract_x
_atom_site_fract_y
_atom_site_fract_z
Ca1 0.500 0.500 0.000
Pm1 0.568 0.946 0.137
Pm2 0.432 0.054 0.863
Pm3 0.000 0.000 0.000
Dy1 0.435 0.566 0.377
Dy2 0.058 0.434 0.623
Dy3 0.565 0.434 0.623
Dy4 0.942 0.566 0.377
Dy5 0.141 0.858 0.282
Dy6 0.859 0.142 0.718
# **Fermi-level density of states**: 17.8 states/eV/cell
# **SG**: No. 12
# **Formation enthalpy at 0 K**: 24 kJ/mol of atoms

=====

4.
# PBE-GGA InGeTe2N, optimized geometry
data_InGeTe2N
_symmetry_space_group_name_H-M 'P 1'
_symmetry_Int_Tables_number 1
_cell_length_a 5.817
_cell_length_b 5.817
_cell_length_c 4.095
_cell_angle_alpha 90.00
_cell_angle_beta 90.00
_cell_angle_gamma 90.00
loop_
_symmetry_equiv_pos_as_xyz
'x,y,z'
loop_
_atom_site_label
_atom_site_fract_x
_atom_site_fract_y
_atom_site_fract_z
N1 0.000 0.000 0.500
Ge1 0.500 0.500 0.500
Te1 0.000 0.500 0.000
Te2 0.500 0.000 0.000
In1 0.000 0.000 0.000
# **Fermi-level density of states**: 1.6 states/eV/cell
# **Energy above the most stable polymorph in this dataset**: 417 meV per atom
# **SG**: No. 123
# **ΔE_f (raw)**: 0.89 eV per atom

=====

5.
# PBE-GGA TcRhN2F, optimized geometry
data_TcRhN2F
_symmetry_space_group_name_H-M 'P 1'
_symmetry_Int_Tables_number 1
_cell_length_a 3.888
_cell_length_b 3.888
_cell_length_c 4.023
_cell_angle_alpha 90.00
_cell_angle_beta 90.00
_cell_angle_gamma 90.00
loop_
_symmetry_equiv_pos_as_xyz
'x,y,z'
loop_
_atom_site_label
_atom_site_fract_x
_atom_site_fract_y
_atom_site_fract_z
N1 0.000 0.500 0.000
N2 0.500 0.000 0.000
Rh1 0.500 0.500 0.500
Tc1 0.000 0.000 0.000
F1 0.000 0.000 0.500
# **Fermi-level density of states**: 6.3 states/eV/cell
# **Energy above the most stable polymorph in this dataset**: 0 meV per atom
# **SG**: No. 123
# **ΔE_f (raw)**: 0.56 eV per atom

=====

6.
# PBE-GGA La2Sn2I, optimized geometry
data_La2Sn2I
_symmetry_space_group_name_H-M 'P 1'
_symmetry_Int_Tables_number 1
_cell_length_a 8.774
_cell_length_b 8.774
_cell_length_c 4.405
_cell_angle_alpha 90.00
_cell_angle_beta 90.00
_cell_angle_gamma 90.00
loop_
_symmetry_equiv_pos_as_xyz
'x,y,z'
loop_
_atom_site_label
_atom_site_fract_x
_atom_site_fract_y
_atom_site_fract_z
I1 0.000 0.000 0.000
I2 0.500 0.500 0.000
Sn1 0.115 0.615 0.500
Sn2 0.615 0.885 0.500
Sn3 0.885 0.385 0.500
Sn4 0.385 0.115 0.500
La1 0.321 0.821 0.000
La2 0.821 0.679 0.000
La3 0.679 0.179 0.000
La4 0.179 0.321 0.000
# **Fermi-level density of states**: 7.1 states/eV/cell
# **SG**: No. 127
# **ΔE_f (raw)**: -0.87 eV per atom

=====

7.
# PBE-GGA La2Sm4ErTm, optimized geometry
data_La2Sm4ErTm
_symmetry_space_group_name_H-M 'P 1'
_symmetry_Int_Tables_number 1
_cell_length_a 9.583
_cell_length_b 9.583
_cell_length_c 11.938
_cell_angle_alpha 128.38
_cell_angle_beta 128.38
_cell_angle_gamma 88.32
loop_
_symmetry_equiv_pos_as_xyz
'x,y,z'
loop_
_atom_site_label
_atom_site_fract_x
_atom_site_fract_y
_atom_site_fract_z
La1 0.500 0.000 0.000
La2 0.500 0.000 0.500
La3 0.000 0.000 0.500
La4 0.500 0.500 0.000
Sm1 0.242 0.753 0.992
Sm2 0.747 0.258 0.508
Sm3 0.253 0.742 0.492
Sm4 0.758 0.247 0.008
Sm5 0.723 0.716 0.965
Sm6 0.784 0.777 0.535
Sm7 0.216 0.223 0.465
Sm8 0.277 0.284 0.035
Er1 0.000 0.500 0.000
Er2 0.000 0.500 0.500
Tm1 0.500 0.500 0.500
Tm2 0.000 0.000 0.000
# **Fermi-level density of states**: 37.0 states/eV/cell
# **SG**: No. 15
# **Formation enthalpy at 0 K**: 37 kJ/mol of atoms

=====

8.
# PBE-GGA TaCdSn2B, optimized geometry
data_TaCdSn2B
_symmetry_space_group_name_H-M 'P 1'
_symmetry_Int_Tables_number 1
_cell_length_a 5.475
_cell_length_b 3.988
_cell_length_c 5.475
_cell_angle_alpha 90.00
_cell_angle_beta 90.00
_cell_angle_gamma 90.00
loop_
_symmetry_equiv_pos_as_xyz
'x,y,z'
loop_
_atom_site_label
_atom_site_fract_x
_atom_site_fract_y
_atom_site_fract_z
B1 0.000 0.500 0.000
Cd1 0.000 0.000 0.000
Sn1 0.000 0.000 0.500
Sn2 0.500 0.000 0.000
Ta1 0.500 0.500 0.500
# **Fermi-level density of states**: 4.1 states/eV/cell
# **SG**: No. 123
# **Formation enthalpy at 0 K**: 156 kJ/mol of atoms

=====

9.
# PBE-GGA K2Ba3RuO6, optimized geometry
data_K2Ba3RuO6
_symmetry_space_group_name_H-M 'P 1'
_symmetry_Int_Tables_number 1
_cell_length_a 6.681
_cell_length_b 6.681
_cell_length_c 6.085
_cell_angle_alpha 100.22
_cell_angle_beta 100.22
_cell_angle_gamma 119.87
loop_
_symmetry_equiv_pos_as_xyz
'x,y,z'
loop_
_atom_site_label
_atom_site_fract_x
_atom_site_fract_y
_atom_site_fract_z
K1 0.332 0.668 0.000
K2 0.668 0.332 0.000
Ba1 0.164 0.836 0.500
Ba2 0.836 0.164 0.500
Ba3 0.500 0.500 0.500
Ru1 0.000 0.000 0.000
O1 0.927 0.671 0.790
O2 0.808 0.808 0.227
O3 0.073 0.329 0.210
O4 0.671 0.927 0.790
O5 0.192 0.192 0.773
O6 0.329 0.073 0.210
# **Fermi-level density of states**: 5.0 states/eV/cell
# **SG**: No. 12
# **ΔE_f (raw)**: -1.70 eV per atom

=====

10.
# PBE-GGA HfTePO2, optimized geometry
data_HfTePO2
_symmetry_space_group_name_H-M 'P 1'
_symmetry_Int_Tables_number 1
_cell_length_a 4.019
_cell_length_b 4.019
_cell_length_c 5.369
_cell_angle_alpha 90.00
_cell_angle_beta 90.00
_cell_angle_gamma 90.00
loop_
_symmetry_equiv_pos_as_xyz
'x,y,z'
loop_
_atom_site_label
_atom_site_fract_x
_atom_site_fract_y
_atom_site_fract_z
P1 0.000 0.000 0.500
Te1 0.000 0.000 0.000
Hf1 0.500 0.500 0.500
O1 0.000 0.500 0.000
O2 0.500 0.000 0.000
# **Fermi-level density of states**: 3.4 states/eV/cell
# **Energy above the most stable polymorph in this dataset**: 1106 meV per atom
# **SG**: No. 123
# **ΔE_f (raw)**: -0.27 eV per atom

=====

11.
# PBE-GGA Sc2NbAl, optimized geometry
data_Sc2NbAl
_symmetry_space_group_name_H-M 'P 1'
_symmetry_Int_Tables_number 1
_cell_length_a 4.018
_cell_length_b 4.018
_cell_length_c 10.579
_cell_angle_alpha 79.05
_cell_angle_beta 79.05
_cell_angle_gamma 90.00
loop_
_symmetry_equiv_pos_as_xyz
'x,y,z'
loop_
_atom_site_label
_atom_site_fract_x
_atom_site_fract_y
_atom_site_fract_z
Sc1 0.627 0.125 0.250
Sc2 0.123 0.625 0.250
Sc3 0.375 0.373 0.750
Sc4 0.875 0.877 0.750
Nb1 0.000 0.000 0.000
Nb2 0.750 0.250 0.500
Al1 0.500 0.500 0.000
Al2 0.250 0.750 0.500
# **Fermi-level density of states**: 9.2 states/eV/cell
# **SG**: No. 122
# **Formation enthalpy at 0 K**: 27 kJ/mol of atoms

=====

12.
# PBE-GGA KScAs, optimized geometry
data_KScAs
_symmetry_space_group_name_H-M 'P 1'
_symmetry_Int_Tables_number 1
_cell_length_a 7.215
_cell_length_b 7.216
_cell_length_c 3.766
_cell_angle_alpha 74.86
_cell_angle_beta 74.87
_cell_angle_gamma 30.26
loop_
_symmetry_equiv_pos_as_xyz
'x,y,z'
loop_
_atom_site_label
_atom_site_fract_x
_atom_site_fract_y
_atom_site_fract_z
As1 0.065 0.065 0.935
K1 0.337 0.337 0.663
Sc1 0.598 0.598 0.402
# **Fermi-level density of states**: 1.8 states/eV/cell
# **SG**: No. 107
# **Formation enthalpy at 0 K**: -55 kJ/mol of atoms